No. 1
First-principles (PBE) data for an optimized crystal structure of Pr3Dy6Ho2Tm, as listed in the Alexandria database.

a = 6.201 Å, b = 6.201 Å, c = 11.838 Å
α = 95.00°, β = 95.00°, γ = 119.98°
Sites, in units of the cell vectors:
1 Pr 0.500 0.500 0.500
2 Dy 0.919 0.585 0.755
3 Dy 0.252 0.252 0.755
4 Dy 0.585 0.919 0.755
5 Ho 0.333 0.667 0.000
6 Pr 0.167 0.833 0.500
7 Tm 0.000 0.000 0.000
8 Dy 0.748 0.748 0.245
9 Ho 0.667 0.333 0.000
10 Dy 0.415 0.081 0.245
11 Dy 0.081 0.415 0.245
12 Pr 0.833 0.167 0.500

Summary:
Formation energy (eV/f.u.): 0.25
Uncorrected energy (eV/atom): -4.61
Spin magnetization (Bohr magnetons per cell): 0.00


No. 2
First-principles (PBE) data for an optimized crystal structure of KMg3, as listed in the Alexandria database.

a = 7.118 Å, b = 7.118 Å, c = 5.427 Å
α = 90.00°, β = 90.00°, γ = 117.61°
Sites, in units of the cell vectors:
1 Mg 0.892 0.543 0.250
2 K 0.921 0.079 0.250
3 Mg 0.457 0.108 0.250
4 Mg 0.543 0.892 0.750
5 Mg 0.414 0.586 0.250
6 Mg 0.586 0.414 0.750
7 Mg 0.108 0.457 0.750
8 K 0.079 0.921 0.750

Summary:
Formation energy (eV/f.u.): 0.94
Uncorrected energy (eV/atom): -1.24
Spin magnetization (Bohr magnetons per cell): 0.00


No. 3
First-principles (PBE) data for an optimized crystal structure of NaNdSeI, as listed in the Alexandria database.

a = 4.212 Å, b = 4.212 Å, c = 8.293 Å
α = 89.99°, β = 104.72°, γ = 120.00°
Site moments in Bohr magnetons follow the coordinates.
Sites, in units of the cell vectors:
1 Nd 0.494 0.145 0.654  0.36
2 I 0.972 0.384 0.371  0.00
3 Se 0.306 0.551 0.872  0.01
4 Na 0.107 0.951 0.073  0.00

Summary:
Uncorrected energy (eV/atom): -4.14
Spin magnetization (Bohr magnetons per cell): 0.96


No. 4
First-principles (PBE) data for an optimized crystal structure of Be3Al, as listed in the Alexandria database.

a = 2.595 Å, b = 2.595 Å, c = 6.159 Å
α = 90.00°, β = 90.00°, γ = 90.00°
Sites, in units of the cell vectors:
1 Al 0.000 0.000 0.000
2 Be 0.500 0.500 0.703
3 Be 0.500 0.500 0.297
4 Be 0.000 0.000 0.500

Summary:
Formation energy (eV/f.u.): 1.07
Uncorrected energy (eV/atom): -3.46
Spin magnetization (Bohr magnetons per cell): 0.00